Record 1
The following is a DFT calculation (GGA-PBE) of an optimized crystal structure of InGa2Re.

Cell and atoms, written as extended XYZ:
```
8
Lattice="-3.7008 1.5363 -0.9227 -1.4734 -1.4033 3.5732 -0.3091 7.9860 5.3747" Properties=species:S:1:pos:R:3 pbc="T T T"
Ga -2.7906 2.8710 1.1598
Ga -1.2446 1.2218 3.5155
Ga -4.8453 6.0240 6.5589
Ga -2.0861 6.1214 4.8163
Re -3.2985 4.7944 2.8887
Re 0.0000 0.0000 0.0000
In -2.5871 0.0665 1.3253
In -2.1848 3.3247 5.1366
```

Computed properties:
Energy of formation = 0.5428 eV/atom
Energy = -4.767 eV/atom



Record 2
The following is a DFT calculation (GGA-PBE) of an optimized crystal structure of YThNiPd.

Cell and atoms, written as extended XYZ:
```
4
Lattice="3.7526 0.0000 0.0000 0.0000 4.3002 0.0000 -1.8763 0.0000 5.5631" Properties=species:S:1:pos:R:3 pbc="T T T"
Ni 0.0000 0.0000 4.5290
Pd 1.8763 2.1501 0.9182
Y 0.0000 0.0000 1.5914
Th 1.8763 2.1501 4.0877
```

Computed properties:
Energy of formation = -0.6434 eV/atom
Offset from the most stable computed form = 0 meV per atom
Energy = -6.858 eV/atom



Record 3
The following is a DFT calculation (GGA-PBE) of an optimized crystal structure of Pm5Zn4Pt.

Cell and atoms, written as extended XYZ:
```
10
Lattice="-3.2526 1.3995 0.9346 -0.4332 -2.6616 2.4779 8.0267 10.3169 12.4855" Properties=species:S:1:pos:R:3 pbc="T T T"
Pm 0.5443 2.4373 5.4196
Pm 3.7965 6.6175 10.4784
Pm 2.1704 4.5274 7.9490
Pm -1.0870 0.3405 2.8820
Pm 5.4279 8.7143 13.0159
Zn 4.8309 6.2093 7.5144
Zn 3.1958 4.1076 4.9710
Zn 1.6052 2.0632 2.4968
Zn 6.4215 8.2537 9.9886
Pt 0.0000 0.0000 0.0000
```

Computed properties:
Energy of formation = -0.4786 eV/atom
Energy = -3.968 eV/atom



Record 4
The following is a DFT calculation (GGA-PBE) of an optimized crystal structure of Co2AsSe.

Cell and atoms, written as extended XYZ:
```
4
Lattice="-2.1245 -5.7566 2.5499 1.3450 -6.4612 -0.7733 1.4454 6.3574 1.2838" Properties=species:S:1:pos:R:3 pbc="T T T"
Se -0.4042 -6.3366 0.9214
As 1.2144 -2.8871 0.6675
Co -0.0512 -0.8021 0.1166
Co -0.4827 -1.9435 2.2431
```

Computed properties:
Energy relative to the elements, uncorrected = 0.1312 eV/atom
Energy = -5.455 eV/atom



Record 5
The following is a DFT calculation (GGA-PBE) of an optimized crystal structure of KY2In.

Cell and atoms, written as extended XYZ:
```
4
Lattice="6.2349 -0.0031 0.0000 2.3408 5.7788 0.0000 -4.2879 -2.8879 3.4854" Properties=species:S:1:pos:R:3 pbc="T T T"
K 3.1174 -0.0015 1.7427
Y 1.1704 2.8894 1.7427
Y 0.0000 0.0000 0.0000
In 4.2879 2.8879 0.0000
```

Computed properties:
Energy of formation = 0.1957 eV/atom
Energy = -3.995 eV/atom



Record 6
The following is a DFT calculation (GGA-PBE) of an optimized crystal structure of ReHg2O5.

Cell and atoms, written as extended XYZ:
```
16
Lattice="-2.9819 1.5160 -1.7928 -1.4233 -6.4695 0.9139 -4.3059 2.2249 9.0433" Properties=species:S:1:pos:R:3 pbc="T T T"
O -7.8028 -2.1976 7.1028
O -3.5779 -0.6661 1.3706
O -2.1336 -2.9066 1.0910
O -6.5775 0.1780 7.0736
O -3.2569 -2.3261 3.4502
O -5.1332 -2.0625 6.7940
O -2.0525 0.0603 3.4649
O -6.6586 -2.7889 4.6997
O -5.4542 -0.4025 4.7143
O -0.9083 -0.5310 1.0617
Hg -5.4318 -2.7907 2.6576
Hg -3.2793 0.0621 5.5069
Hg -4.4978 0.6917 8.0660
Hg -4.2133 -3.4203 0.0985
Re -2.0665 -1.3841 2.2668
Re -6.6446 -1.3445 5.8977
```

Computed properties:
Energy relative to the elements, uncorrected = -0.8525 eV/atom
Offset from the most stable computed form = 221 meV per atom
Energy = -5.583 eV/atom



Record 7
The following is a DFT calculation (GGA-PBE) of an optimized crystal structure of FePt2Cl.

Cell and atoms, written as extended XYZ:
```
4
Lattice="-2.0153 3.4706 2.2677 -2.1004 -0.9423 -5.0823 -2.3177 -1.6128 0.4636" Properties=species:S:1:pos:R:3 pbc="T T T"
Fe -2.0578 1.2642 -1.4073
Pt 0.0000 0.0000 0.0000
Pt -2.1665 0.9289 1.3656
Cl -2.2090 -1.2776 -2.3094
```

Computed properties:
Energy relative to the elements, uncorrected = 0.3840 eV/atom
Offset from the most stable computed form = 345 meV per atom
Energy = -5.214 eV/atom



Record 8
The following is a DFT calculation (GGA-PBE) of an optimized crystal structure of PmPr5Nd.

Cell and atoms, written as extended XYZ:
```
14
Lattice="6.4639 0.1719 2.7917 2.4692 5.9762 2.7917 1.0793 0.7428 13.8823" Properties=species:S:1:pos:R:3 pbc="T T T"
Pr 3.9197 2.8631 15.7005
Pr 2.8173 2.9923 11.9742
Pr 6.0927 4.0278 3.7653
Pr 3.5345 2.2672 8.7593
Pr 6.7509 5.6995 14.4327
Pr 6.4778 4.6237 10.7064
Pr 6.0946 1.2862 6.2623
Pr 7.1951 3.8986 7.4915
Pr 3.2615 1.1914 5.0331
Pr 3.9177 5.6047 13.2035
Pm 0.0000 0.0000 0.0000
Pm 0.5397 0.3714 6.9411
Nd 6.1501 2.3611 13.2035
Nd 3.8623 4.5298 6.2623
```

Computed properties:
Energy of formation = 0.1500 eV/atom
Offset from the most stable computed form = 0 meV per atom
Energy = -4.624 eV/atom



Record 9
The following is a DFT calculation (GGA-PBE) of an optimized crystal structure of Mg5Tl2Ag.

Cell and atoms, written as extended XYZ:
```
8
Lattice="4.8435 0.0000 0.0000 0.0000 4.8435 0.0000 -2.4218 -2.4218 7.7522" Properties=species:S:1:pos:R:3 pbc="T T T"
Mg 0.0000 2.4218 5.9664
Mg 2.4218 2.4218 0.0000
Mg 0.0000 2.4218 1.7858
Mg 2.4218 0.0000 5.9664
Mg 2.4218 0.0000 1.7858
Tl 2.4218 2.4218 3.8402
Tl 0.0000 0.0000 3.9120
Ag 0.0000 0.0000 0.0000
```

Computed properties:
Energy of formation = -0.0418 eV/atom
Energy = -1.986 eV/atom



Record 10
The following is a DFT calculation (GGA-PBE) of an optimized crystal structure of Rb3YBr.

Cell and atoms, written as extended XYZ:
```
5
Lattice="-3.8570 -1.7630 -5.1779 -1.6566 -5.6617 3.1617 -5.2129 3.1036 2.8263" Properties=species:S:1:pos:R:3 pbc="T T T"
Rb -0.8283 -2.8308 1.5808
Rb -2.6065 1.5518 1.4132
Rb -1.9285 -0.8815 -2.5890
Y -5.3633 -2.1605 0.4050
Br 0.0000 0.0000 0.0000
```

Computed properties:
Energy relative to the elements, uncorrected = -0.1035 eV/atom
Offset from the most stable computed form = 0 meV per atom
Energy = -2.311 eV/atom



Record 11
The following is a DFT calculation (GGA-PBE) of an optimized crystal structure of ZrTiBi.

Cell and atoms, written as extended XYZ:
```
3
Lattice="-3.1197 -0.3568 0.6447 0.6522 -2.6425 1.6934 1.9616 5.2751 4.4422" Properties=species:S:1:pos:R:3 pbc="T T T"
Ti -0.5871 1.8549 6.1546
Bi -1.0771 -0.6870 2.3768
Zr 0.4340 2.2512 3.3458
```

Computed properties:
Energy of formation = 0.0376 eV/atom
Offset from the most stable computed form = 304 meV per atom
Energy = -6.737 eV/atom



Record 12
The following is a DFT calculation (GGA-PBE) of an optimized crystal structure of AlRhS2N.

Cell and atoms, written as extended XYZ:
```
5
Lattice="4.8511 0.0000 0.0000 0.0000 4.8511 0.0000 0.0000 0.0000 3.6335" Properties=species:S:1:pos:R:3 pbc="T T T"
Rh 0.0000 0.0000 0.0000
S 2.4256 0.0000 0.0000
S 0.0000 2.4256 0.0000
N 0.0000 0.0000 1.8168
Al 2.4256 2.4256 1.8168
```

Computed properties:
Energy relative to the elements, uncorrected = 0.4124 eV/atom
Offset from the most stable computed form = 0 meV per atom
Energy = -5.122 eV/atom



What is the energy in the seventh record?
-5.214 eV/atom



Among the records above, which one has the highest energy?
Mg5Tl2Ag



Among the records above, which one has the lowest energy?
YThNiPd



The highest energy belongs to which entry?
Mg5Tl2Ag